The following is a DFT calculation (GGA-PBE) of an optimized crystal structure of Ac3Y2Pb4.

As for the density of states at the Fermi level: 12.34 states/eV per cell. The formation energy comes out at -0.468 eV/atom. The spin magnetization is 0.0 μB/f.u.

The space group is C2/m (No. 12) and the conventional cell measures 14.115, 5.193 and 10.465 Å, with angles of 90.00, 122.98 and 90.00 degrees. Symmetry generates all atoms from Ac at (0.000, 0.000, 0.000), Ac at (0.145, 0.500, 0.708), Y at (0.153, 0.500, 0.333), Pb at (0.075, 0.000, 0.413) and Pb at (0.172, 0.500, 0.046).